(1)
This record from the Alexandria database describes NiHgBr at its PBEsol-relaxed geometry. The functional is SCAN.

Lattice parameters (Å, degrees): 4.4095 4.4095 4.4095 60.00 60.00 60.00
Positions (direct):
Br1 0.0000 0.0000 0.0000
Hg1 0.5000 0.5000 0.5000
Ni1 0.2500 0.2500 0.2500

Uncorrected energy, eV per cell: -102.7
Formation energy without anion corrections, eV/atom: 0.354
Total magnetic moment, μB per atom: 0.00

=====

(2)
This record from the Alexandria database describes RbInTeI2 at its PBEsol-relaxed geometry. The functional is SCAN.

Lattice parameters (Å, degrees): 5.6326 5.9980 5.9980 90.00 90.00 90.00
Positions (direct):
I1 0.0000 0.0000 0.5000
I2 0.0000 0.5000 0.0000
Te1 0.5000 0.0000 0.0000
Rb1 0.5000 0.5000 0.5000
In1 0.0000 0.0000 0.0000

Uncorrected energy, eV per cell: -168.3
Formation energy without anion corrections, eV/atom: -0.695
Total magnetic moment, μB per atom: 0.00

=====

(3)
This record from the Alexandria database describes Ba2CrPd at its PBEsol-relaxed geometry. The functional is SCAN.

Lattice parameters (Å, degrees): 5.5549 5.5549 5.5549 60.00 60.00 60.00
Each line ends with the local moment (μB).
Positions (direct):
Cr1 0.0000 0.0000 0.0000  4.28
Ba1 0.2500 0.2500 0.2500  0.06
Ba2 0.7500 0.7500 0.7500  0.06
Pd1 0.5000 0.5000 0.5000  0.07

Uncorrected energy, eV per cell: -130.0
ΔE_f, meV per atom: 75
Total magnetic moment, μB per atom: 1.34

=====

(4)
This record from the Alexandria database describes Y2Ge2Os at its PBEsol-relaxed geometry. The functional is SCAN.

Lattice parameters (Å, degrees): 4.2718 6.7017 6.7017 90.00 90.00 90.00
Positions (direct):
Y1 0.5000 0.1756 0.6756
Y2 0.5000 0.6756 0.8244
Y3 0.5000 0.8244 0.3244
Y4 0.5000 0.3244 0.1756
Ge1 0.0000 0.3662 0.8662
Ge2 0.0000 0.8662 0.6338
Ge3 0.0000 0.6338 0.1338
Ge4 0.0000 0.1338 0.3662
Os1 0.0000 0.0000 0.0000
Os2 0.0000 0.5000 0.5000

Uncorrected energy, eV per cell: -339.3
ΔE_f, meV per atom: -785
Total magnetic moment, μB per atom: 0.00

=====

(5)
This record from the Alexandria database describes Al2InMo at its PBEsol-relaxed geometry. The functional is SCAN.

Lattice parameters (Å, degrees): 2.9763 2.9763 9.2062 80.70 80.70 60.00
Positions (direct):
Mo1 0.2546 0.2546 0.2362
Al1 0.9977 0.9977 0.0069
Al2 0.7456 0.7456 0.7632
In1 0.5021 0.5021 0.4937

Uncorrected energy, eV per cell: -83.0
ΔE_f, meV per atom: 201
Total magnetic moment, μB per atom: 0.00

=====

(6)
This record from the Alexandria database describes Tb4CdNi at its PBEsol-relaxed geometry. The functional is SCAN.

Lattice parameters (Å, degrees): 9.3960 9.3960 9.3960 60.00 60.00 60.00
Positions (direct):
Tb1 0.9015 0.9015 0.2956
Tb2 0.2956 0.9015 0.9015
Tb3 0.9015 0.9015 0.9015
Tb4 0.9015 0.2956 0.9015
Tb5 0.0605 0.4395 0.4395
Tb6 0.4395 0.0605 0.0605
Tb7 0.0605 0.0605 0.4395
Tb8 0.4395 0.4395 0.0605
Tb9 0.4395 0.0605 0.4395
Tb10 0.0605 0.4395 0.0605
Tb11 0.6865 0.3135 0.3135
Tb12 0.3135 0.6865 0.6865
Tb13 0.6865 0.6865 0.3135
Tb14 0.3135 0.3135 0.6865
Tb15 0.3135 0.6865 0.3135
Tb16 0.6865 0.3135 0.6865
Cd1 0.6694 0.6694 0.9918
Cd2 0.9918 0.6694 0.6694
Cd3 0.6694 0.6694 0.6694
Cd4 0.6694 0.9918 0.6694
Ni1 0.1075 0.1075 0.6775
Ni2 0.6775 0.1075 0.1075
Ni3 0.1075 0.1075 0.1075
Ni4 0.1075 0.6775 0.1075

Uncorrected energy, eV per cell: -943.0
ΔE_f, meV per atom: -351
Total magnetic moment, μB per atom: 0.00

=====

(7)
This record from the Alexandria database describes ZrMnBe at its PBEsol-relaxed geometry. The functional is SCAN.

Lattice parameters (Å, degrees): 4.0479 4.0479 4.0479 60.00 60.00 60.00
Each line ends with the local moment (μB).
Positions (direct):
Be1 0.5000 0.5000 0.5000  -0.02
Mn1 0.2500 0.2500 0.2500  3.49
Zr1 0.0000 0.0000 0.0000  0.59

Uncorrected energy, eV per cell: -51.5
ΔE_f, meV per atom: 586
Total magnetic moment, μB per atom: 1.49

=====

(8)
This record from the Alexandria database describes BaInRu2 at its PBEsol-relaxed geometry. The functional is SCAN.

Lattice parameters (Å, degrees): 3.0511 5.5404 5.5404 109.81 104.91 104.91
Each line ends with the local moment (μB).
Positions (direct):
Ba1 0.5000 0.0000 0.0000  -0.02
In1 0.5000 0.5000 0.5000  -0.01
Ru1 0.0000 0.5000 0.0000  0.49
Ru2 0.0000 0.0000 0.5000  0.49

Uncorrected energy, eV per cell: -139.0
ΔE_f, meV per atom: 904
Total magnetic moment, μB per atom: 0.23

=====

(9)
This record from the Alexandria database describes ScOF2 at its PBEsol-relaxed geometry. The functional is SCAN.

Lattice parameters (Å, degrees): 3.6388 3.6388 4.1201 63.79 63.79 60.00
Each line ends with the local moment (μB).
Positions (direct):
Sc1 0.5000 0.5000 0.5000  -0.04
O1 0.0000 0.0000 0.0000  0.76
F1 0.7868 0.7868 0.6397  0.07
F2 0.2132 0.2132 0.3603  0.07

Uncorrected energy, eV per cell: -38.4
Formation energy without anion corrections, eV/atom: -2.715
Total magnetic moment, μB per atom: 0.25

=====

(10)
This record from the Alexandria database describes SrLiSi2 at its PBEsol-relaxed geometry. The functional is SCAN.

Lattice parameters (Å, degrees): 3.8171 4.2194 6.1763 109.83 90.00 90.00
Positions (direct):
Sr1 0.0000 0.5234 0.4238
Si1 0.0000 0.7950 0.9638
Si2 0.5000 0.9155 0.2064
Li1 0.5000 0.2661 0.9060

Uncorrected energy, eV per cell: -45.9
Energy above the most stable polymorph in this dataset, meV per atom: 0.0
Formation energy without anion corrections, eV/atom: -0.302
Total magnetic moment, μB per atom: 0.00

=====

(11)
This record from the Alexandria database describes PRuO2F at its PBEsol-relaxed geometry. The functional is SCAN.

Lattice parameters (Å, degrees): 3.5128 4.0124 4.0124 90.00 90.00 90.00
Each line ends with the local moment (μB).
Positions (direct):
Ru1 0.5000 0.5000 0.5000  2.58
F1 0.0000 0.0000 0.0000  0.21
O1 0.0000 0.0000 0.5000  0.81
O2 0.0000 0.5000 0.0000  0.81
P1 0.5000 0.0000 0.0000  -0.16

Uncorrected energy, eV per cell: -56.8
Formation energy without anion corrections, eV/atom: 0.890
Total magnetic moment, μB per atom: 0.87

=====

(12)
This record from the Alexandria database describes SrFeAg2 at its PBEsol-relaxed geometry. The functional is SCAN.

Lattice parameters (Å, degrees): 4.8411 4.8411 4.8411 60.00 60.00 60.00
Each line ends with the local moment (μB).
Positions (direct):
Ag1 0.0000 0.0000 0.0000  0.01
Ag2 0.7500 0.7500 0.7500  0.01
Fe1 0.5000 0.5000 0.5000  3.30
Sr1 0.2500 0.2500 0.2500  -0.02

Uncorrected energy, eV per cell: -101.3
Energy above the most stable polymorph in this dataset, meV per atom: 121.1
ΔE_f, meV per atom: 460
Total magnetic moment, μB per atom: 0.80

=====

(13)
This record from the Alexandria database describes RbCuRe2P at its PBEsol-relaxed geometry. The functional is SCAN.

Lattice parameters (Å, degrees): 4.6919 4.6919 4.8406 90.00 90.00 90.00
Each line ends with the local moment (μB).
Positions (direct):
Re1 0.0000 0.5000 0.0000  0.95
Re2 0.5000 0.0000 0.0000  0.95
Cu1 0.5000 0.5000 0.5000  0.07
Rb1 0.0000 0.0000 0.0000  0.01
P1 0.0000 0.0000 0.5000  -0.06

Uncorrected energy, eV per cell: -167.4
ΔE_f, meV per atom: 4231
Total magnetic moment, μB per atom: 0.46

=====

(14)
This record from the Alexandria database describes TbBr at its PBEsol-relaxed geometry. The functional is SCAN.

Lattice parameters (Å, degrees): 3.7561 3.7561 10.2209 79.41 79.41 60.00
Each line ends with the local moment (μB).
Positions (direct):
Tb1 0.8794 0.8794 0.3617  0.52
Tb2 0.1206 0.1206 0.6383  0.52
Br1 0.6097 0.6097 0.1708  0.01
Br2 0.3903 0.3903 0.8292  0.01

Uncorrected energy, eV per cell: -138.0
Formation energy without anion corrections, eV/atom: -1.377
Total magnetic moment, μB per atom: 0.40